1.
DFT (GGA-PBE) results for crystalline LiTa2Be at its relaxed geometry.

Results
calculated formation energy = 229.4 meV per atom
energy = -7.107 eV/atom

```
data_LiTa2Be
_chemical_formula_sum 'Li2 Ta4 Be2'
_cell_length_a 3.605
_cell_length_b 4.190
_cell_length_c 8.193
_cell_angle_alpha 90.00
_cell_angle_beta 90.00
_cell_angle_gamma 90.00
_space_group_name_H-M_alt 'C m m 2'
_space_group_IT_number 35
_space_group_name_Hall 'C 2 -2'
loop_
_atom_site_label
_atom_site_type_symbol
_atom_site_fract_x
_atom_site_fract_y
_atom_site_fract_z
Li1 Li 0.000 0.000 0.000
Ta1 Ta 0.000 0.000 0.417
Ta2 Ta 0.000 0.500 0.706
Be1 Be 0.000 0.500 0.205
```

---

2.
DFT (GGA-PBE) results for crystalline LiTa2Be at its relaxed geometry.

Results
calculated formation energy = 430.5 meV per atom
energy = -6.906 eV/atom

```
data_LiTa2Be
_chemical_formula_sum 'Li2 Ta4 Be2'
_cell_length_a 5.328
_cell_length_b 8.956
_cell_length_c 2.683
_cell_angle_alpha 90.00
_cell_angle_beta 106.45
_cell_angle_gamma 90.00
_space_group_name_H-M_alt 'C 1 2/m 1'
_space_group_IT_number 12
_space_group_name_Hall '-C 2y'
loop_
_atom_site_label
_atom_site_type_symbol
_atom_site_fract_x
_atom_site_fract_y
_atom_site_fract_z
Li1 Li 0.000 0.000 0.000
Ta1 Ta 0.250 0.250 0.500
Be1 Be 0.000 0.500 0.000
```

---

3.
DFT (GGA-PBE) results for crystalline LiTa2Be at its relaxed geometry.

Results
calculated formation energy = 335.7 meV per atom
energy = -7.001 eV/atom

```
data_LiTa2Be
_chemical_formula_sum 'Li2 Ta4 Be2'
_cell_length_a 4.042
_cell_length_b 4.042
_cell_length_c 6.984
_cell_angle_alpha 90.00
_cell_angle_beta 90.00
_cell_angle_gamma 90.00
_space_group_name_H-M_alt 'I 4/m m m'
_space_group_IT_number 139
_space_group_name_Hall '-I 4 2'
loop_
_atom_site_label
_atom_site_type_symbol
_atom_site_fract_x
_atom_site_fract_y
_atom_site_fract_z
Li1 Li 0.000 0.000 0.000
Ta1 Ta 0.000 0.500 0.250
Be1 Be 0.000 0.000 0.500
```

---

Copy entry 3 word for word.
DFT (GGA-PBE) results for crystalline LiTa2Be at its relaxed geometry.

Results
calculated formation energy = 335.7 meV per atom
energy = -7.001 eV/atom

```
data_LiTa2Be
_chemical_formula_sum 'Li2 Ta4 Be2'
_cell_length_a 4.042
_cell_length_b 4.042
_cell_length_c 6.984
_cell_angle_alpha 90.00
_cell_angle_beta 90.00
_cell_angle_gamma 90.00
_space_group_name_H-M_alt 'I 4/m m m'
_space_group_IT_number 139
_space_group_name_Hall '-I 4 2'
loop_
_atom_site_label
_atom_site_type_symbol
_atom_site_fract_x
_atom_site_fract_y
_atom_site_fract_z
Li1 Li 0.000 0.000 0.000
Ta1 Ta 0.000 0.500 0.250
Be1 Be 0.000 0.000 0.500
```

---

The highest calculated formation energy belongs to which entry? number 2

---

The highest energy belongs to which entry? number 2